## CuTcPO2 (PBE)

Data for crystalline CuTcPO2 at its relaxed geometry.

```
CuTcPO2
1.0
3.7019 0.0000 0.0000
0.0000 3.7019 0.0000
0.0000 0.0000 5.2124
Cu Tc P O
1 1 1 2
Direct
0.0000 0.0000 0.0000
0.5000 0.5000 0.5000
0.5000 0.5000 0.0000
0.0000 0.5000 0.5000
0.5000 0.0000 0.5000
```

Summary:
spin magnetization	0.00	μB/cell
formation energy from raw total energies	-0.53	eV per atom
volume	14.286	Å³/atom



## CrC2 (PBE)

Data for crystalline CrC2 at its relaxed geometry.

```
CrC2
1.0
4.9513 -1.2927 0.0000
4.9513 1.2927 0.0000
-0.3982 0.0000 3.5694
Cr C
2 4
Direct
0.1216 0.1216 0.0518
0.8784 0.8784 0.9482
0.2339 0.2339 0.5968
0.4934 0.4934 0.2981
0.5066 0.5066 0.7019
0.7661 0.7661 0.4032
```

Summary:
spin magnetization	0.00	μB/cell
E_tot	-53.17	eV for the cell shown
volume	7.615	Å³/atom



## LaAs2Se (PBE)

Data for crystalline LaAs2Se at its relaxed geometry.

```
LaAs2Se
1.0
2.9106 -2.9189 0.0000
2.9106 2.9189 0.0000
0.0000 0.0000 5.6796
La As Se
1 2 1
Direct
0.0000 0.0000 0.0000
0.5000 0.5000 0.2726
0.5000 0.5000 0.7274
0.0000 0.0000 0.5000
```

Summary:
spin magnetization	0.00	μB/cell
formation energy from raw total energies	-0.59	eV per atom
volume	24.126	Å³/atom



## CaZr2Si2 (PBE)

Data for crystalline CaZr2Si2 at its relaxed geometry.

```
CaZr2Si2
1.0
-2.5247 2.5247 4.8702
2.5247 -2.5247 4.8702
2.5247 2.5247 -4.8702
Ca Zr Si
1 2 2
Direct
0.0000 0.0000 0.0000
0.3263 0.3263 0.0000
0.6737 0.6737 0.0000
0.2500 0.7500 0.5000
0.7500 0.2500 0.5000
```

Summary:
spin magnetization	0.00	μB/cell
formation energy from raw total energies	-0.18	eV per atom
volume	24.834	Å³/atom



## AlCu2Ni (PBE)

Data for crystalline AlCu2Ni at its relaxed geometry.

```
AlCu2Ni
1.0
4.9629 0.0000 0.0000
0.0000 4.0656 0.0000
0.0000 0.0000 5.0366
Al Cu Ni
2 4 2
Direct
0.2500 0.0000 0.0613
0.7500 0.0000 0.9387
0.0000 0.0000 0.5000
0.2500 0.5000 0.3313
0.5000 0.0000 0.5000
0.7500 0.5000 0.6687
0.2500 0.5000 0.8151
0.7500 0.5000 0.1849
```

Summary:
spin magnetization	0.00	μB/cell
E_tot	-35.73	eV for the cell shown
volume	12.703	Å³/atom



## AcErSnGe (PBE)

Data for crystalline AcErSnGe at its relaxed geometry.

```
AcErSnGe
1.0
0.0000 3.8486 3.8486
3.8486 0.0000 3.8486
3.8486 3.8486 0.0000
Ac Er Sn Ge
1 1 1 1
Direct
0.0000 0.0000 0.0000
0.5000 0.5000 0.5000
0.2500 0.2500 0.2500
0.7500 0.7500 0.7500
```

Summary:
spin magnetization	0.00	μB/cell
E_tot	-19.21	eV for the cell shown
volume	28.503	Å³/atom



## CrTe4W (PBE)

Data for crystalline CrTe4W at its relaxed geometry.

```
CrTe4W
1.0
0.0000 4.4236 4.4236
4.4236 0.0000 4.4236
4.4236 4.4236 0.0000
Cr Te W
1 4 1
Direct
0.0000 0.0000 0.0000
0.1267 0.6244 0.6244
0.6244 0.1267 0.6244
0.6244 0.6244 0.1267
0.6244 0.6244 0.6244
0.2500 0.2500 0.2500
```

Summary:
spin magnetization	9.27	μB/cell
formation energy from raw total energies	1.55	eV per atom
volume	28.855	Å³/atom



## YTl2Hg6 (PBE)

Data for crystalline YTl2Hg6 at its relaxed geometry.

```
YTl2Hg6
1.0
9.0049 0.0000 0.0000
-4.5024 7.7985 0.0000
0.0000 0.0000 3.3703
Y Tl Hg
1 2 6
Direct
0.0000 0.0000 0.0000
0.3333 0.6667 0.0000
0.6667 0.3333 0.0000
0.0000 0.3320 0.5000
0.0000 0.6680 0.5000
0.3320 0.0000 0.5000
0.3320 0.3320 0.5000
0.6680 0.0000 0.5000
0.6680 0.6680 0.5000
```

Summary:
spin magnetization	0.02	μB/cell
E_tot	-14.02	eV for the cell shown
volume	26.298	Å³/atom



## CoPRh (PBE)

Data for crystalline CoPRh at its relaxed geometry.

```
CoPRh
1.0
2.7996 0.0000 0.0000
-1.3998 2.4246 0.0000
0.0000 0.0000 5.5390
Co P Rh
1 1 1
Direct
0.0000 0.0000 0.0000
0.3333 0.6667 0.2764
0.6667 0.3333 0.5999
```

Summary:
spin magnetization	0.76	μB/cell
E_tot	-20.38	eV for the cell shown
volume	12.533	Å³/atom



## ThMn3Ni2 (PBE)

Data for crystalline ThMn3Ni2 at its relaxed geometry.

```
ThMn3Ni2
1.0
5.0113 0.0000 0.0000
-2.5056 4.3399 0.0000
0.0000 0.0000 4.1448
Th Mn Ni
1 3 2
Direct
0.0000 0.0000 0.0000
0.0000 0.5000 0.5000
0.5000 0.0000 0.5000
0.5000 0.5000 0.5000
0.3333 0.6667 0.0000
0.6667 0.3333 0.0000
```

Summary:
spin magnetization	6.98	μB/cell
E_tot	-46.79	eV for the cell shown
volume	15.024	Å³/atom



Which of these has the lowest volume? CrC2



What is the spin magnetization in the eighth record? 0.02 μB/cell



Please write out number 9 again, unchanged.
## CoPRh (PBE)

Data for crystalline CoPRh at its relaxed geometry.

```
CoPRh
1.0
2.7996 0.0000 0.0000
-1.3998 2.4246 0.0000
0.0000 0.0000 5.5390
Co P Rh
1 1 1
Direct
0.0000 0.0000 0.0000
0.3333 0.6667 0.2764
0.6667 0.3333 0.5999
```

Summary:
spin magnetization	0.76	μB/cell
E_tot	-20.38	eV for the cell shown
volume	12.533	Å³/atom